DFT (PBE) results for a relaxed In2IrAu crystal.

Cell: 3.324 4.122 5.658 Å, 90.00 90.00 90.00°
Space group Pmm2 (No. 25)
Inequivalent atoms, fractional coordinates:
In1 0.000 0.000 0.000 x1
In2 0.500 0.500 0.330 x1
Ir1 0.000 0.000 0.496 x1
Au1 0.500 0.500 0.816 x1

Results
* formation energy: 0.02 eV per atom
* E above lowest polymorph: 53.3 meV per atom

DFT (PBE) results for a relaxed InIr2Au crystal.

Cell: 4.140 4.140 3.873 Å, 90.00 90.00 90.00°
Space group P4/mmm (No. 123)
Inequivalent atoms, fractional coordinates:
In1 0.000 0.000 0.000 x1
Ir1 0.000 0.500 0.500 x2
Au1 0.500 0.500 0.000 x1

Results
* formation energy: 0.19 eV per atom

DFT (PBE) results for a relaxed InIr2Au crystal.

Cell: 5.868 7.556 2.994 Å, 90.00 90.00 90.00°
Space group Cmmm (No. 65)
Inequivalent atoms, fractional coordinates:
In1 0.000 0.000 0.000 x2
Ir1 0.250 0.250 0.500 x4
Au1 0.000 0.500 0.000 x2

Results
* formation energy: 0.20 eV per atom

DFT (PBE) results for a relaxed InIr2Au crystal.

Cell: 4.130 4.130 7.838 Å, 90.00 90.00 90.00°
Space group I4/mmm (No. 139)
Inequivalent atoms, fractional coordinates:
In1 0.000 0.000 0.000 x2
Ir1 0.000 0.500 0.250 x4
Au1 0.000 0.000 0.500 x2

Results
* formation energy: 0.24 eV per atom

DFT (PBE) results for a relaxed InIr2Au crystal.

Cell: 9.376 2.930 4.961 Å, 90.00 101.82 90.00°
Space group C2/m (No. 12)
Inequivalent atoms, fractional coordinates:
In1 0.000 0.000 0.000 x2
Ir1 0.245 0.500 0.253 x4
Au1 0.000 0.500 0.500 x2

Results
* formation energy: 0.17 eV per atom

DFT (PBE) results for a relaxed In2IrAu crystal.

Cell: 6.717 6.717 6.717 Å, 90.00 90.00 90.00°
Space group F-43m (No. 216)
Inequivalent atoms, fractional coordinates:
In1 0.000 0.000 0.000 x4
In2 0.250 0.250 0.250 x4
Ir1 0.250 0.250 0.750 x4
Au1 0.000 0.000 0.500 x4

Results
* formation energy: 0.25 eV per atom
* E above lowest polymorph: 283.5 meV per atom

DFT (PBE) results for a relaxed InIr2Au crystal.

Cell: 4.553 4.553 3.220 Å, 90.00 90.00 90.00°
Space group P4/mmm (No. 123)
Inequivalent atoms, fractional coordinates:
In1 0.000 0.000 0.000 x1
Ir1 0.000 0.500 0.500 x2
Au1 0.500 0.500 0.000 x1

Results
* formation energy: 0.25 eV per atom

DFT (PBE) results for a relaxed In2IrAu crystal.

Cell: 7.569 7.569 5.806 Å, 90.00 90.00 90.00°
Space group I-42d (No. 122)
Inequivalent atoms, fractional coordinates:
In1 0.232 0.250 0.125 x8
Ir1 0.000 0.000 0.000 x4
Au1 0.000 0.000 0.500 x4

Results
* formation energy: 0.21 eV per atom
* E above lowest polymorph: 244.4 meV per atom

DFT (PBE) results for a relaxed InIr2Au crystal.

Cell: 2.901 2.901 8.028 Å, 90.00 90.00 90.00°
Space group P4mm (No. 99)
Inequivalent atoms, fractional coordinates:
In1 0.000 0.000 0.000 x1
Ir1 0.000 0.000 0.468 x1
Ir2 0.500 0.500 0.249 x1
Au1 0.500 0.500 0.725 x1

Results
* formation energy: 0.19 eV per atom

DFT (PBE) results for a relaxed InIrAu crystal.

Cell: 3.674 3.674 18.031 Å, 90.00 90.00 90.00°
Space group I4/mmm (No. 139)
Inequivalent atoms, fractional coordinates:
In1 0.000 0.000 0.110 x4
Ir1 0.000 0.000 0.432 x4
Au1 0.000 0.000 0.278 x4

Results
* formation energy: 0.28 eV per atom
* E above lowest polymorph: 143.9 meV per atom

DFT (PBE) results for a relaxed InIr2Au crystal.

Cell: 2.856 4.787 10.131 Å, 90.00 90.00 90.00°
Space group Imm2 (No. 44)
Inequivalent atoms, fractional coordinates:
In1 0.000 0.000 0.000 x2
Ir1 0.000 0.000 0.460 x2
Ir2 0.000 0.500 0.745 x2
Au1 0.000 0.500 0.222 x2

Results
* formation energy: 0.24 eV per atom

DFT (PBE) results for a relaxed In2IrAu crystal.

Cell: 3.134 3.134 8.156 Å, 90.00 90.00 90.00°
Space group P4mm (No. 99)
Inequivalent atoms, fractional coordinates:
In1 0.000 0.000 0.000 x1
In2 0.500 0.500 0.326 x1
Ir1 0.000 0.000 0.528 x1
Au1 0.500 0.500 0.753 x1

Results
* formation energy: 0.15 eV per atom
* E above lowest polymorph: 185.6 meV per atom

DFT (PBE) results for a relaxed In2IrAu crystal.

Cell: 3.2110 3.2110 26.1160 Å, 90.00 90.00 120.00°
Space group R-3m (No. 166, hexagonal axes)
Inequivalent atoms, fractional coordinates:
In1 0.0000 0.0000 0.2460 x6
Ir1 0.0000 0.0000 0.5000 x3
Au1 0.0000 0.0000 0.0000 x3

Results
* formation energy: 0.06 eV per atom
* E above lowest polymorph: 99.9 meV per atom

DFT (PBE) results for a relaxed In2IrAu crystal.

Cell: 4.274 4.274 8.113 Å, 90.00 90.00 90.00°
Space group I4/mmm (No. 139)
Inequivalent atoms, fractional coordinates:
In1 0.000 0.500 0.250 x4
Ir1 0.000 0.000 0.000 x2
Au1 0.000 0.000 0.500 x2

Results
* formation energy: 0.02 eV per atom
* E above lowest polymorph: 55.1 meV per atom

DFT (PBE) results for a relaxed InIrAu3 crystal.

Cell: 5.032 5.032 5.032 Å, 90.00 90.00 90.00°
Space group Pm-3m (No. 221)
Inequivalent atoms, fractional coordinates:
In1 0.000 0.000 0.000 x1
Ir1 0.500 0.500 0.500 x1
Au1 0.000 0.000 0.500 x3

Results
* formation energy: 1.46 eV per atom
* E above lowest polymorph: 726.6 meV per atom

DFT (PBE) results for a relaxed LuInIrAu crystal.

Cell: 6.759 6.759 6.759 Å, 90.00 90.00 90.00°
Space group F-43m (No. 216)
Inequivalent atoms, fractional coordinates:
Lu1 0.000 0.000 0.000 x4
In1 0.000 0.000 0.500 x4
Ir1 0.250 0.250 0.750 x4
Au1 0.250 0.250 0.250 x4

Results
* formation energy: -0.54 eV per atom

DFT (PBE) results for a relaxed MgInIrAu crystal.

Cell: 6.544 6.544 6.544 Å, 90.00 90.00 90.00°
Space group F-43m (No. 216)
Inequivalent atoms, fractional coordinates:
Mg1 0.000 0.000 0.000 x4
In1 0.000 0.000 0.500 x4
Ir1 0.250 0.250 0.750 x4
Au1 0.250 0.250 0.250 x4

Results
* formation energy: -0.25 eV per atom
* E above lowest polymorph: 41.8 meV per atom

DFT (PBE) results for a relaxed Mg5In2Ir2Au crystal.

Cell: 9.679 9.679 4.113 Å, 90.00 90.00 90.00°
Space group P4/mbm (No. 127)
Inequivalent atoms, fractional coordinates:
Mg1 0.000 0.500 0.000 x2
Mg2 0.076 0.203 0.000 x8
In1 0.172 0.672 0.500 x4
Ir1 0.121 0.379 0.500 x4
Au1 0.000 0.000 0.500 x2

Results
* formation energy: -0.29 eV per atom

DFT (PBE) results for a relaxed MgInIrAu crystal.

Cell: 3.155 3.155 7.090 Å, 90.00 90.00 90.00°
Space group P4mm (No. 99)
Inequivalent atoms, fractional coordinates:
Mg1 0.000 0.000 0.000 x1
In1 0.000 0.000 0.462 x1
Ir1 0.500 0.500 0.225 x1
Au1 0.500 0.500 0.750 x1

Results
* formation energy: -0.29 eV per atom
* E above lowest polymorph: 0.0 meV per atom

DFT (PBE) results for a relaxed MnInIrAu2 crystal.

Cell: 5.152 5.152 4.705 Å, 90.00 90.00 90.00°
Space group P4/mmm (No. 123)
Inequivalent atoms, fractional coordinates:
Mn1 0.000 0.000 0.000 x1
In1 0.500 0.500 0.000 x1
Ir1 0.000 0.000 0.500 x1
Au1 0.000 0.500 0.500 x2

Results
* formation energy: 0.67 eV per atom

DFT (PBE) results for a relaxed NpInIrAu crystal.

Cell: 6.872 6.872 6.872 Å, 90.00 90.00 90.00°
Space group F-43m (No. 216)
Inequivalent atoms, fractional coordinates:
Np1 0.000 0.000 0.000 x4
In1 0.000 0.000 0.500 x4
Ir1 0.250 0.250 0.750 x4
Au1 0.250 0.250 0.250 x4

Results
* formation energy: -0.12 eV per atom

DFT (PBE) results for a relaxed PuInIrAu crystal.

Cell: 6.892 6.892 6.892 Å, 90.00 90.00 90.00°
Space group F-43m (No. 216)
Inequivalent atoms, fractional coordinates:
Pu1 0.000 0.000 0.000 x4
In1 0.000 0.000 0.500 x4
Ir1 0.250 0.250 0.750 x4
Au1 0.250 0.250 0.250 x4

Results
* formation energy: -0.25 eV per atom

DFT (PBE) results for a relaxed InIrRh2Au crystal.

Cell: 4.836 4.836 4.885 Å, 90.00 90.00 90.00°
Space group P4/mmm (No. 123)
Inequivalent atoms, fractional coordinates:
In1 0.000 0.000 0.000 x1
Ir1 0.000 0.000 0.500 x1
Rh1 0.000 0.500 0.000 x2
Au1 0.500 0.500 0.500 x1

Results
* formation energy: 1.65 eV per atom

DFT (PBE) results for a relaxed ScIn2IrAu crystal.

Cell: 5.418 5.418 4.897 Å, 90.00 90.00 90.00°
Space group P4/mmm (No. 123)
Inequivalent atoms, fractional coordinates:
Sc1 0.000 0.000 0.000 x1
In1 0.000 0.500 0.000 x2
Ir1 0.500 0.500 0.500 x1
Au1 0.000 0.000 0.500 x1

Results
* formation energy: 1.30 eV per atom

DFT (PBE) results for a relaxed Sm5In2Ir2Au crystal.

Cell: 11.903 11.903 3.748 Å, 90.00 90.00 90.00°
Space group P4/mbm (No. 127)
Inequivalent atoms, fractional coordinates:
Sm1 0.000 0.500 0.000 x2
Sm2 0.075 0.202 0.000 x8
In1 0.176 0.676 0.500 x4
Ir1 0.135 0.365 0.500 x4
Au1 0.000 0.000 0.500 x2

Results
* formation energy: -0.62 eV per atom

DFT (PBE) results for a relaxed Sr2In6IrAu crystal.

Cell: 10.584 10.584 10.584 Å, 90.00 90.00 90.00°
Space group Fm-3m (No. 225)
Inequivalent atoms, fractional coordinates:
Sr1 0.250 0.250 0.250 x8
In1 0.000 0.000 0.247 x24
Ir1 0.000 0.000 0.000 x4
Au1 0.000 0.000 0.500 x4

Results
* formation energy: -0.13 eV per atom

DFT (PBE) results for a relaxed TaInIr2Au crystal.

Cell: 4.831 4.831 5.481 Å, 90.00 90.00 90.00°
Space group P4/mmm (No. 123)
Inequivalent atoms, fractional coordinates:
Ta1 0.000 0.000 0.000 x1
In1 0.000 0.000 0.500 x1
Ir1 0.000 0.500 0.000 x2
Au1 0.500 0.500 0.500 x1

Results
* formation energy: 1.33 eV per atom

DFT (PBE) results for a relaxed TbInIrAu crystal.

Cell: 6.857 6.857 6.857 Å, 90.00 90.00 90.00°
Space group F-43m (No. 216)
Inequivalent atoms, fractional coordinates:
Tb1 0.000 0.000 0.000 x4
In1 0.000 0.000 0.500 x4
Ir1 0.250 0.250 0.750 x4
Au1 0.250 0.250 0.250 x4

Results
* formation energy: -0.50 eV per atom